Computed, not measured: a relaxed structure of DyMgZn at the PBE-GGA level of DFT.

Lattice parameters (Å, degrees): 5.031 5.031 6.132 90.00 90.00 119.99
Sites, in units of the cell vectors:
Dy (0.667, 0.833, 0.750)
Dy (0.333, 0.167, 0.250)
Zn (0.333, 0.167, 0.750)
Zn (0.667, 0.833, 0.250)
Mg (0.000, 0.500, 0.000)
Mg (0.000, 0.500, 0.500)

Output
M_tot, μB per atom: 0.00
DFT total energy, eV/atom: -2.750
Density of states at the Fermi level, states/eV per atom: 0.682
ΔH_f (0 K), meV per atom: -259.7
V, Å³ per atom: 22.402

***

Computed, not measured: a relaxed structure of KBi2Br at the PBE-GGA level of DFT.

Lattice parameters (Å, degrees): 5.733 5.733 5.733 60.00 60.00 60.00
Sites, in units of the cell vectors:
Bi (0.250, 0.250, 0.250)
Bi (0.750, 0.750, 0.750)
K (0.000, 0.000, 0.000)
Br (0.500, 0.500, 0.500)

Output
Raw formation energy, eV per formula unit: 0.5
M_tot, μB per atom: 0.00
DFT total energy, eV/atom: -2.501
Density of states at the Fermi level, states/eV per atom: 0.907
V, Å³ per atom: 33.309

***

Computed, not measured: a relaxed structure of Pr4AlAg3 at the PBE-GGA level of DFT.

Lattice parameters (Å, degrees): 5.345 5.345 9.282 73.27 73.27 60.00
Sites, in units of the cell vectors:
Ag (0.746, 0.746, 0.761)
Ag (0.500, 0.500, 0.500)
Ag (0.254, 0.254, 0.239)
Pr (0.875, 0.875, 0.375)
Pr (0.376, 0.376, 0.872)
Pr (0.624, 0.624, 0.128)
Pr (0.125, 0.125, 0.625)
Al (0.000, 0.000, 0.000)

Output
M_tot, μB per atom: 0.00
DFT total energy, eV/atom: -4.194
Density of states at the Fermi level, states/eV per atom: 1.001
Polymorph energy (0 for the lowest one), meV per atom: 0
ΔH_f (0 K), meV per atom: -266.8
V, Å³ per atom: 27.075

***

Computed, not measured: a relaxed structure of ZnBiPCl2 at the PBE-GGA level of DFT.

Lattice parameters (Å, degrees): 5.350 5.350 5.576 90.00 90.00 90.00
Sites, in units of the cell vectors:
P (0.000, 0.000, 0.500)
Cl (0.000, 0.500, 0.000)
Cl (0.500, 0.000, 0.000)
Bi (0.000, 0.000, 0.000)
Zn (0.500, 0.500, 0.500)

Output
Raw formation energy, eV per formula unit: 1.0
M_tot, μB per atom: 0.00
DFT total energy, eV/atom: -2.657
Density of states at the Fermi level, states/eV per atom: 0.767
Polymorph energy (0 for the lowest one), meV per atom: 234
V, Å³ per atom: 31.925